1.
Here is an optimized crystal structure of TmScCd from OQMD. Energies are from PBE-GGA.

The structure in POSCAR format:
```
TmScCd
1.0
0.000 3.498 3.498
3.498 0.000 3.498
3.498 3.498 0.000
Tm Cd Sc
1 1 1
Cartesian
0.000 0.000 0.000
1.749 1.749 1.749
5.247 5.247 5.247
```

## Properties
As for the size of the total moment: 0.000 μB/f.u. The calculation puts the total DFT energy (no corrections) at -9.99 eV/cell.

2.
Here is an optimized crystal structure of TmScCd from OQMD. Energies are from PBE-GGA.

The structure in POSCAR format:
```
TmScCd
1.0
1.184 -3.338 3.408
0.573 1.368 4.686
-3.310 -1.346 3.375
Cd Sc Tm
1 1 1
Cartesian
-0.388 -0.829 2.867
0.000 0.000 0.000
-1.165 -2.487 8.602
```

## Properties
As for the size of the total moment: 0.007 μB/f.u. The calculation puts the total DFT energy (no corrections) at -10.26 eV/cell.

size of the total moment of number 1 (TmScCd)?
0.000 μB/f.u.

The lowest size of the total moment belongs to which entry?
number 1